(1)
Entry from the Alexandria database: KPbW after structural relaxation (GGA-PBEsol).

Results
Its calculated formation energy is 1.0544 eV/atom. Its excess energy over the best structure of this formula in the dataset is 0.11 eV per formula unit. The total moment comes out at 0.0 Bohr magnetons per cell. As for the symmetry: I4mm (107). For the electronic total energy, the calculation gives -0.3865 Ry/atom.

The structure in POSCAR format:
```
KPbW
1.0
2.9882 0.0000 0.0000
0.0000 2.9882 0.0000
-1.4941 -1.4941 8.0189
W K Pb
1 1 1
direct
0.3188 0.3188 0.6376
0.9969 0.9969 0.9938
0.6843 0.6843 0.3685
```


(2)
Entry from the Alexandria database: CdFeBr2 after structural relaxation (GGA-PBEsol).

Results
Its excess energy over the best structure of this formula in the dataset is 0.06 eV per formula unit. The total moment comes out at 3.8 Bohr magnetons per cell. Its formation energy (no corrections) is 5.0 kJ per mole of atoms. As for the symmetry: Cmmm (65). For the electronic total energy, the calculation gives -0.2516 Ry/atom.

The structure in POSCAR format:
```
CdFeBr2
1.0
3.4146 0.0781 0.0000
-1.5915 3.0221 0.0000
0.0000 0.0000 9.3518
Cd Br Fe
1 2 1
direct
0.5000 0.5000 0.5000
0.0000 0.0000 0.1846
0.0000 0.0000 0.8154
0.5000 0.5000 0.0000
```


Question: Among the records above, which one has the highest total moment?
Answer: CdFeBr2


Question: What is the formula in the second record?
Answer: CdFeBr2


Please write out number 2 again, unchanged.
Entry from the Alexandria database: CdFeBr2 after structural relaxation (GGA-PBEsol).

Results
Its excess energy over the best structure of this formula in the dataset is 0.06 eV per formula unit. The total moment comes out at 3.8 Bohr magnetons per cell. Its formation energy (no corrections) is 5.0 kJ per mole of atoms. As for the symmetry: Cmmm (65). For the electronic total energy, the calculation gives -0.2516 Ry/atom.

The structure in POSCAR format:
```
CdFeBr2
1.0
3.4146 0.0781 0.0000
-1.5915 3.0221 0.0000
0.0000 0.0000 9.3518
Cd Br Fe
1 2 1
direct
0.5000 0.5000 0.5000
0.0000 0.0000 0.1846
0.0000 0.0000 0.8154
0.5000 0.5000 0.0000
```


Question: Number 2 is which compound?
Answer: CdFeBr2